Below is a relaxed PrTl2Hg2Te4 crystal, with properties calculated at the PBE level.

Volume (Å³/atom): 34.1
Total magnetic moment (μB/f.u.): 0.00
Electronic total energy (Ry per atom): -0.221
ΔE_f (raw) (eV per atom): -0.491

a b c (Å): 8.5465 8.5465 8.5386
angles (deg): 106.52 106.52 31.04
Element x y z (fractional)
Pr (0.0000, 0.0000, 0.0000)
Tl (0.1297, 0.1297, 0.5538)
Tl (0.8703, 0.8703, 0.4462)
Hg (0.3369, 0.3369, 0.0177)
Hg (0.6631, 0.6631, 0.9823)
Te (0.2076, 0.2076, 0.2103)
Te (0.4995, 0.4995, 0.7309)
Te (0.5005, 0.5005, 0.2691)
Te (0.7924, 0.7924, 0.7897)